DFT (PBE) results for crystalline GaTeOs3 at its relaxed geometry.

As for the uncorrected formation energy: 2.41 eV/atom. The calculation puts the magnetization at 0.7 Bohr magnetons per cell. The total energy comes out at -5.562 eV per atom. The calculation puts the calculated density at 11.3 g/cm³.

Unit cell a=4.8355 b=4.8355 c=4.8355 alpha=90.00 beta=90.00 gamma=90.00
Space group Pm-3m (No. 221)
Asymmetric unit:
Ga (0.0000, 0.0000, 0.0000) [1 per cell]
Te (0.5000, 0.5000, 0.5000) [1 per cell]
Os (0.0000, 0.5000, 0.5000) [3 per cell]